[1]
A plane-wave DFT calculation with PBE was carried out for crystalline RbAgAs3 at its relaxed geometry.

Unit cell a=5.2087 b=5.2087 c=5.2087 alpha=90.00 beta=90.00 gamma=90.00
Last column: nearest neighbours and their distance in Å.
Positions (direct):
Rb  0.0000  0.0000  0.0000  12 As 3.68
Ag  0.5000  0.5000  0.5000  6 As 2.60
As  0.0000  0.5000  0.5000  2 Ag 2.60
As  0.5000  0.0000  0.5000  2 Ag 2.60
As  0.5000  0.5000  0.0000  2 Ag 2.60

## Properties
- DFT formation energy: 455 meV per atom

[2]
A plane-wave DFT calculation with PBE was carried out for crystalline CrCuHPd2 at its relaxed geometry.

Unit cell a=4.0093 b=4.0093 c=3.7744 alpha=90.00 beta=90.00 gamma=90.00
Last column: nearest neighbours and their distance in Å.
Positions (direct):
Cr  0.0000  0.0000  0.0000  8 Pd 2.75, 4 Cu 2.84
Cu  0.5000  0.5000  0.0000  2 H 1.89
H  0.5000  0.5000  0.5000  2 Cu 1.89, 4 Pd 2.00
Pd  0.0000  0.5000  0.5000  2 H 2.00
Pd  0.5000  0.0000  0.5000  2 H 2.00

## Properties
- Electronic total energy: -5.50 eV/atom

[3]
A plane-wave DFT calculation with PBE was carried out for crystalline EuMgCdNi at its relaxed geometry.

Unit cell a=4.9936 b=4.9936 c=4.9936 alpha=60.00 beta=60.00 gamma=60.00
Last column: nearest neighbours and their distance in Å.
Positions (direct):
Eu  0.0000  0.0000  0.0000  4 Cd 3.06, 4 Ni 3.06
Mg  0.5000  0.5000  0.5000  4 Cd 3.06, 4 Ni 3.06
Cd  0.7500  0.7500  0.7500  4 Mg 3.06, 4 Eu 3.06
Ni  0.2500  0.2500  0.2500  4 Mg 3.06, 4 Eu 3.06

## Properties
- DFT formation energy: -46 meV per atom

[4]
A plane-wave DFT calculation with PBE was carried out for crystalline Cs2Hg2Te2S at its relaxed geometry.

Unit cell a=8.0091 b=8.0091 c=9.2047 alpha=121.82 beta=121.82 gamma=34.60
Last column: nearest neighbours and their distance in Å.
Positions (direct):
Cs  0.0533  0.0533  0.3052  2 S 3.42
Cs  0.9467  0.9467  0.6948  2 S 3.42
Hg  0.3091  0.3091  0.9121  1 S 2.56
Hg  0.6909  0.6909  0.0879  1 S 2.56
Te  0.3127  0.3127  0.2536  3 Hg 2.89-3.11
Te  0.6873  0.6873  0.7464  3 Hg 2.89-3.11
S  0.5000  0.5000  0.0000  2 Hg 2.56

## Properties
- Uncorrected formation energy: -0.629 eV/atom

[5]
A plane-wave DFT calculation with PBE was carried out for crystalline NdZn6Ag4 at its relaxed geometry.

Unit cell a=7.4232 b=7.4232 c=4.2720 alpha=90.00 beta=90.00 gamma=120.00
Last column: nearest neighbours and their distance in Å.
Positions (direct):
Nd  0.0000  0.0000  0.0000  6 Ag 3.34, 6 Zn 3.41
Zn  0.2066  0.4133  0.5000  4 Ag 2.61-2.69, 2 Zn 2.82
Zn  0.2066  0.7934  0.5000  4 Ag 2.61-2.69, 2 Zn 2.82
Zn  0.5391  0.0782  0.0000  5 Ag 2.65-2.72, 2 Zn 2.84
Zn  0.5391  0.4609  0.0000  5 Ag 2.65-2.72, 2 Zn 2.84
Zn  0.5867  0.7934  0.5000  4 Ag 2.61-2.69, 2 Zn 2.82
Zn  0.9218  0.4609  0.0000  5 Ag 2.65-2.72, 2 Zn 2.84
Ag  0.3333  0.6667  0.0000  9 Zn 2.65-2.69
Ag  0.3987  0.1993  0.5000  6 Zn 2.61-2.72
Ag  0.8007  0.1993  0.5000  6 Zn 2.61-2.72
Ag  0.8007  0.6013  0.5000  6 Zn 2.61-2.72

## Properties
- DFT formation energy: -109 meV per atom